1.
This record from Alexandria via LeMat-Bulk describes a geometry-optimized CdI2O6 structure. The functional is PBE-GGA.

* uncorrected formation energy: -47 kJ per mole of atoms
* density: 4.89 g/cm³
* size of the total moment: 0.000 μB per formula unit

abc: 6.4259 7.1420 7.1420
angles: 98.75 80.82 80.82
Positions (direct):
O 0.0557 0.4921 0.6997
O 0.8724 0.2041 0.0494
O 0.6276 0.9506 0.7959
O 0.4443 0.3003 0.5079
O 0.8070 0.9714 0.3956
O 0.9443 0.5079 0.3003
O 0.1930 0.0286 0.6044
O 0.1276 0.7959 0.9506
O 0.3724 0.0494 0.2041
O 0.5557 0.6997 0.4921
O 0.6930 0.6044 0.0286
O 0.3070 0.3956 0.9714
I 0.7162 0.4386 0.1995
I 0.2162 0.1995 0.4386
I 0.7838 0.8005 0.5614
I 0.2838 0.5614 0.8005
Cd 0.7500 0.9150 0.0850
Cd 0.2500 0.0850 0.9150

=====

2.
This record from Alexandria via LeMat-Bulk describes a geometry-optimized CdIO4 structure. The functional is PBE-GGA.

* uncorrected formation energy: -40 kJ per mole of atoms
* density: 5.89 g/cm³
* size of the total moment: 0.000 μB per formula unit

abc: 3.3413 5.0681 5.0681
angles: 85.54 90.00 90.00
Positions (direct):
O 0.0000 0.8294 0.8294
O 0.0000 0.1706 0.1706
O 0.5000 0.2803 0.7197
O 0.5000 0.7197 0.2803
Cd 0.0000 0.5000 0.5000
I 0.5000 0.0000 0.0000

=====

3.
This record from Alexandria via LeMat-Bulk describes a geometry-optimized CdIO4 structure. The functional is PBE-GGA.

* uncorrected formation energy: -54 kJ per mole of atoms
* density: 5.99 g/cm³
* size of the total moment: 0.000 μB per formula unit

abc: 5.6685 7.7376 7.8078
angles: 100.78 90.39 88.74
Positions (direct):
Cd 0.2455 0.6864 0.8719
Cd 0.7560 0.3487 0.6494
Cd 0.2440 0.6514 0.3506
Cd 0.7545 0.3136 0.1281
O 0.4720 0.7018 0.1113
O 0.3951 0.1909 0.5696
O 0.3722 0.9605 0.8045
O 0.6049 0.8091 0.4304
O 0.9843 0.3113 0.3954
O 0.9010 0.5889 0.1880
O 0.8803 0.8062 0.9525
O 0.0334 0.9048 0.3007
O 0.9665 0.0952 0.6993
O 0.0991 0.4111 0.8120
O 0.6278 0.0395 0.1955
O 0.5280 0.2982 0.8887
O 0.0157 0.6887 0.6046
O 0.5642 0.6194 0.6824
O 0.4358 0.3806 0.3176
O 0.1197 0.1938 0.0475
I 0.2599 0.1823 0.3342
I 0.7401 0.8177 0.6658
I 0.7604 0.8122 0.1805
I 0.2396 0.1878 0.8195